1.
Material: TlPt2Se
Method: DFT, PBE-GGA
State: relaxed

CIF file:
```
data_TlPt2Se
_cell_length_a 2.969
_cell_length_b 3.880
_cell_length_c 6.720
_cell_angle_alpha 90.00
_cell_angle_beta 90.00
_cell_angle_gamma 90.00
_symmetry_space_group_name_H-M 'P m m m'
_symmetry_Int_Tables_number 47
_symmetry_space_group_name_Hall '-P 2 2'
loop_
_atom_site_label
_atom_site_fract_x
_atom_site_fract_y
_atom_site_fract_z
Tl1 0.000 0.000 0.000
Pt1 0.500 0.500 0.232
Se1 0.500 0.000 0.500
```

Output
Uncorrected energy, eV per atom: -4.377
Formation energy from raw total energies, meV/atom: 107
ρ, g/cm3: 14.4

=====

2.
Material: Tl2PtSe
Method: DFT, PBE-GGA
State: relaxed

CIF file:
```
data_Tl2PtSe
_cell_length_a 4.0735
_cell_length_b 4.0735
_cell_length_c 20.6573
_cell_angle_alpha 90.00
_cell_angle_beta 90.00
_cell_angle_gamma 120.00
_symmetry_space_group_name_H-M 'R -3 m'
_symmetry_Int_Tables_number 166
_symmetry_space_group_name_Hall '-R 3 2"'
loop_
_atom_site_label
_atom_site_fract_x
_atom_site_fract_y
_atom_site_fract_z
Tl1 0.0000 0.0000 0.2425
Pt1 0.0000 0.0000 0.5000
Se1 0.0000 0.0000 0.0000
```

Output
Uncorrected energy, eV per atom: -3.591
Distance to the lowest polymorph of the same formula, eV per atom: 0.128
Formation energy from raw total energies, meV/atom: -27
ρ, g/cm3: 11.5

=====

3.
Material: TlPt2Se
Method: DFT, PBE-GGA
State: relaxed

CIF file:
```
data_TlPt2Se
_cell_length_a 6.421
_cell_length_b 3.836
_cell_length_c 6.974
_cell_angle_alpha 90.00
_cell_angle_beta 108.83
_cell_angle_gamma 90.00
_symmetry_space_group_name_H-M 'C 1 2/m 1'
_symmetry_Int_Tables_number 12
_symmetry_space_group_name_Hall '-C 2y'
loop_
_atom_site_label
_atom_site_fract_x
_atom_site_fract_y
_atom_site_fract_z
Tl1 0.000 0.000 0.000
Pt1 0.239 0.000 0.723
Se1 0.000 0.500 0.500
```

Output
Uncorrected energy, eV per atom: -4.383
Formation energy from raw total energies, meV/atom: 100
ρ, g/cm3: 13.8

=====

4.
Material: TlPt2Se
Method: DFT, PBE-GGA
State: relaxed

CIF file:
```
data_TlPt2Se
_cell_length_a 3.461
_cell_length_b 4.614
_cell_length_c 10.351
_cell_angle_alpha 90.00
_cell_angle_beta 90.00
_cell_angle_gamma 90.00
_symmetry_space_group_name_H-M 'I m m 2'
_symmetry_Int_Tables_number 44
_symmetry_space_group_name_Hall 'I 2 -2'
loop_
_atom_site_label
_atom_site_fract_x
_atom_site_fract_y
_atom_site_fract_z
Tl1 0.000 0.000 0.000
Pt1 0.000 0.000 0.551
Pt2 0.000 0.500 0.847
Se1 0.000 0.500 0.226
```

Output
Uncorrected energy, eV per atom: -4.375
Formation energy from raw total energies, meV/atom: 109
ρ, g/cm3: 13.5

=====

5.
Material: Tl2PtSe
Method: DFT, PBE-GGA
State: relaxed

CIF file:
```
data_Tl2PtSe
_cell_length_a 3.181
_cell_length_b 5.361
_cell_length_c 5.564
_cell_angle_alpha 90.00
_cell_angle_beta 92.30
_cell_angle_gamma 90.00
_symmetry_space_group_name_H-M 'P 1 2/m 1'
_symmetry_Int_Tables_number 10
_symmetry_space_group_name_Hall '-P 2y'
loop_
_atom_site_label
_atom_site_fract_x
_atom_site_fract_y
_atom_site_fract_z
Tl1 0.222 0.000 0.256
Pt1 0.500 0.500 0.500
Se1 0.500 0.500 0.000
```

Output
Uncorrected energy, eV per atom: -3.387
Distance to the lowest polymorph of the same formula, eV per atom: 0.332
Formation energy from raw total energies, meV/atom: 177
ρ, g/cm3: 12.0

=====

6.
Material: Tl2PtSe
Method: DFT, PBE-GGA
State: relaxed

CIF file:
```
data_Tl2PtSe
_cell_length_a 4.343
_cell_length_b 4.343
_cell_length_c 4.998
_cell_angle_alpha 90.00
_cell_angle_beta 90.00
_cell_angle_gamma 90.00
_symmetry_space_group_name_H-M 'P 4/m m m'
_symmetry_Int_Tables_number 123
_symmetry_space_group_name_Hall '-P 4 2'
loop_
_atom_site_label
_atom_site_fract_x
_atom_site_fract_y
_atom_site_fract_z
Tl1 0.000 0.500 0.000
Pt1 0.000 0.000 0.500
Se1 0.500 0.500 0.500
```

Output
Uncorrected energy, eV per atom: -3.357
Distance to the lowest polymorph of the same formula, eV per atom: 0.362
Formation energy from raw total energies, meV/atom: 207
ρ, g/cm3: 12.0

=====

7.
Material: TlPtSe2
Method: DFT, PBE-GGA
State: relaxed

CIF file:
```
data_TlPtSe2
_cell_length_a 3.7374
_cell_length_b 3.7374
_cell_length_c 27.5252
_cell_angle_alpha 90.00
_cell_angle_beta 90.00
_cell_angle_gamma 120.00
_symmetry_space_group_name_H-M 'R -3 m'
_symmetry_Int_Tables_number 166
_symmetry_space_group_name_Hall '-R 3 2"'
loop_
_atom_site_label
_atom_site_fract_x
_atom_site_fract_y
_atom_site_fract_z
Tl1 0.0000 0.0000 0.0000
Pt1 0.0000 0.0000 0.5000
Se1 0.0000 0.0000 0.1183
```

Output
Uncorrected energy, eV per atom: -4.120
Distance to the lowest polymorph of the same formula, eV per atom: 0.030
Formation energy from raw total energies, meV/atom: -276
ρ, g/cm3: 8.3

=====

8.
Material: Tm6TlPt2Se3
Method: DFT, PBE-GGA
State: relaxed

CIF file:
```
data_Tm6TlPt2Se3
_cell_length_a 18.755
_cell_length_b 3.929
_cell_length_c 8.584
_cell_angle_alpha 90.00
_cell_angle_beta 112.46
_cell_angle_gamma 90.00
_symmetry_space_group_name_H-M 'C 1 2/m 1'
_symmetry_Int_Tables_number 12
_symmetry_space_group_name_Hall '-C 2y'
loop_
_atom_site_label
_atom_site_fract_x
_atom_site_fract_y
_atom_site_fract_z
Tm1 0.004 0.000 0.232
Tm2 0.173 0.500 0.583
Tm3 0.179 0.500 0.054
Tl1 0.000 0.500 0.500
Pt1 0.155 0.000 0.802
Se1 0.000 0.500 0.000
Se2 0.167 0.000 0.318
```

Output
Uncorrected energy, eV per atom: -5.618
Formation energy from raw total energies, meV/atom: -1307
ρ, g/cm3: 10.5

=====

9.
Material: UTlPtSe3
Method: DFT, PBE-GGA
State: relaxed

CIF file:
```
data_UTlPtSe3
_cell_length_a 9.184
_cell_length_b 4.021
_cell_length_c 9.546
_cell_angle_alpha 90.00
_cell_angle_beta 111.95
_cell_angle_gamma 90.00
_symmetry_space_group_name_H-M 'P 1 21/m 1'
_symmetry_Int_Tables_number 11
_symmetry_space_group_name_Hall '-P 2yb'
loop_
_atom_site_label
_atom_site_fract_x
_atom_site_fract_y
_atom_site_fract_z
U1 0.182 0.250 0.178
Tl1 0.314 0.750 0.776
Pt1 0.389 0.750 0.453
Se1 0.049 0.250 0.855
Se2 0.240 0.250 0.480
Se3 0.386 0.750 0.163
```

Output
Uncorrected energy, eV per atom: -5.770
Formation energy from raw total energies, meV/atom: -745
ρ, g/cm3: 8.9

=====

10.
Material: U2Tl2PtSe6
Method: DFT, PBE-GGA
State: relaxed

CIF file:
```
data_U2Tl2PtSe6
_cell_length_a 6.774
_cell_length_b 11.746
_cell_length_c 8.416
_cell_angle_alpha 90.00
_cell_angle_beta 105.84
_cell_angle_gamma 90.00
_symmetry_space_group_name_H-M 'C 1 2/m 1'
_symmetry_Int_Tables_number 12
_symmetry_space_group_name_Hall '-C 2y'
loop_
_atom_site_label
_atom_site_fract_x
_atom_site_fract_y
_atom_site_fract_z
U1 0.000 0.173 0.000
Tl1 0.000 0.334 0.500
Pt1 0.000 0.500 0.000
Se1 0.244 0.335 0.211
Se2 0.245 0.500 0.815
```

Output
Uncorrected energy, eV per atom: -5.643
Formation energy from raw total energies, meV/atom: -710
ρ, g/cm3: 8.0

=====

11.
Material: U3Tl3PtSe8
Method: DFT, PBE-GGA
State: relaxed

CIF file:
```
data_U3Tl3PtSe8
_cell_length_a 13.687
_cell_length_b 7.982
_cell_length_c 9.294
_cell_angle_alpha 90.00
_cell_angle_beta 119.19
_cell_angle_gamma 90.00
_symmetry_space_group_name_H-M 'C 1 2/m 1'
_symmetry_Int_Tables_number 12
_symmetry_space_group_name_Hall '-C 2y'
loop_
_atom_site_label
_atom_site_fract_x
_atom_site_fract_y
_atom_site_fract_z
U1 0.000 0.000 0.000
U2 0.250 0.250 0.000
Tl1 0.000 0.500 0.500
Tl2 0.250 0.250 0.500
Pt1 0.000 0.500 0.000
Se1 0.015 0.253 0.798
Se2 0.219 0.500 0.193
Se3 0.237 0.000 0.211
```

Output
Uncorrected energy, eV per atom: -5.747
Formation energy from raw total energies, meV/atom: -755
ρ, g/cm3: 8.1

=====

12.
Material: Tm4PtSe2
Method: DFT, PBE-GGA
State: relaxed

CIF file:
```
data_Tm4PtSe2
_cell_length_a 3.850
_cell_length_b 12.931
_cell_length_c 13.884
_cell_angle_alpha 90.00
_cell_angle_beta 90.00
_cell_angle_gamma 90.00
_symmetry_space_group_name_H-M 'C m c m'
_symmetry_Int_Tables_number 63
_symmetry_space_group_name_Hall '-C 2c 2'
loop_
_atom_site_label
_atom_site_fract_x
_atom_site_fract_y
_atom_site_fract_z
Tm1 0.000 0.000 0.000
Tm2 0.000 0.291 0.129
Tm3 0.000 0.451 0.750
Pt1 0.000 0.108 0.750
Se1 0.000 0.359 0.564
```

Output
Uncorrected energy, eV per atom: -5.769
Formation energy from raw total energies, meV/atom: -1356
ρ, g/cm3: 9.9